Below is a crystal of V2FeO6 relaxed with PBEsol, with properties calculated at the meta-GGA SCAN level.

abc: 6.647 6.647 5.717
angles: 105.13 105.13 83.82
Atoms (fractional coordinates):
V 0.110 0.296 0.245
V 0.296 0.110 0.745
V 0.704 0.890 0.255
V 0.890 0.704 0.755
Fe 0.416 0.584 0.750
Fe 0.584 0.416 0.250
O 0.124 0.156 0.942
O 0.127 0.587 0.767
O 0.156 0.124 0.442
O 0.309 0.467 0.362
O 0.413 0.873 0.733
O 0.467 0.309 0.862
O 0.533 0.691 0.138
O 0.587 0.127 0.267
O 0.691 0.533 0.638
O 0.844 0.876 0.558
O 0.873 0.413 0.233
O 0.876 0.844 0.058

Crystal system: monoclinic
Space group: C2/c, No. 15
Magnetic moment (μB per cell): 8.0
E (eV/f.u.): -111.24